Entry 1:
SrMnIr | PBE-GGA | relaxed

Computed properties:
Spin magnetization in μB per atom: 0.24
ΔE to the lowest computed polymorph in meV per atom: 180
DOS at the Fermi energy in states/eV/cell: 5.54

```
data_SrMnIr
_cell_length_a 4.006
_cell_length_b 4.937
_cell_length_c 6.903
_cell_angle_alpha 90.00
_cell_angle_beta 90.05
_cell_angle_gamma 90.00
_space_group_name_H-M_alt 'P 1 2/m 1'
_space_group_IT_number 10
loop_
_space_group_symop_operation_xyz
'x,y,z'
'-x,-y,-z'
'-x,y,-z'
'x,-y,z'
loop_
_atom_site_label
_atom_site_fract_x
_atom_site_fract_y
_atom_site_fract_z
Sr1 0.000 0.000 0.000
Sr2 0.500 0.000 0.500
Mn1 0.001 0.500 0.650
Ir1 0.499 0.500 0.179
```

***

Entry 2:
SrMnIr | PBE-GGA | relaxed

Computed properties:
Spin magnetization in μB per atom: 0.00
ΔE to the lowest computed polymorph in meV per atom: 238
DOS at the Fermi energy in states/eV/cell: 8.14

```
data_SrMnIr
_cell_length_a 7.371
_cell_length_b 4.207
_cell_length_c 8.192
_cell_angle_alpha 90.00
_cell_angle_beta 90.00
_cell_angle_gamma 90.00
_space_group_name_H-M_alt 'P n m a'
_space_group_IT_number 62
loop_
_space_group_symop_operation_xyz
'x,y,z'
'-x,-y,-z'
'-x+1/2,-y,z+1/2'
'x+1/2,y,-z+1/2'
'x+1/2,-y+1/2,-z+1/2'
'-x+1/2,y+1/2,z+1/2'
'-x,y+1/2,-z'
'x,-y+1/2,z'
loop_
_atom_site_label
_atom_site_fract_x
_atom_site_fract_y
_atom_site_fract_z
Sr1 0.003 0.250 0.184
Mn1 0.153 0.750 0.432
Ir1 0.161 0.250 0.567
```

***

Entry 3:
SrMnIr | PBE-GGA | relaxed

Computed properties:
Spin magnetization in μB per atom: 1.55
ΔE to the lowest computed polymorph in meV per atom: 1331
DOS at the Fermi energy in states/eV/cell: 8.39

```
data_SrMnIr
_cell_length_a 6.759
_cell_length_b 6.759
_cell_length_c 6.759
_cell_angle_alpha 90.00
_cell_angle_beta 90.00
_cell_angle_gamma 90.00
_space_group_name_H-M_alt 'F -4 3 m'
_space_group_IT_number 216
_space_group_name_Hall 'F -4 2 3'
loop_
_atom_site_label
_atom_site_fract_x
_atom_site_fract_y
_atom_site_fract_z
Sr1 0.000 0.000 0.000
Mn1 0.250 0.250 0.750
Ir1 0.250 0.250 0.250
```

***

Entry 4:
Ta2MnIr | PBE-GGA | relaxed

Computed properties:
Spin magnetization in μB per atom: 0.73
DOS at the Fermi energy in states/eV/cell: 2.71

```
data_Ta2MnIr
_cell_length_a 3.201
_cell_length_b 3.213
_cell_length_c 6.235
_cell_angle_alpha 90.00
_cell_angle_beta 90.00
_cell_angle_gamma 90.00
_space_group_name_H-M_alt 'P m m 2'
_space_group_IT_number 25
loop_
_space_group_symop_operation_xyz
'x,y,z'
'-x,-y,z'
'-x,y,z'
'x,-y,z'
loop_
_atom_site_label
_atom_site_fract_x
_atom_site_fract_y
_atom_site_fract_z
Ta1 0.000 0.000 0.000
Ta2 0.500 0.500 0.285
Mn1 0.500 0.500 0.775
Ir1 0.000 0.000 0.524
```

***

Entry 5:
Ta2MnIr | PBE-GGA | relaxed

Computed properties:
Spin magnetization in μB per atom: 0.61
DOS at the Fermi energy in states/eV/cell: 5.33

```
data_Ta2MnIr
_cell_length_a 3.560
_cell_length_b 4.299
_cell_length_c 8.275
_cell_angle_alpha 90.00
_cell_angle_beta 90.00
_cell_angle_gamma 90.00
_space_group_name_H-M_alt 'I m m m'
_space_group_IT_number 71
_space_group_name_Hall '-I 2 2'
loop_
_atom_site_label
_atom_site_fract_x
_atom_site_fract_y
_atom_site_fract_z
Ta1 0.000 0.000 0.248
Mn1 0.000 0.500 0.000
Ir1 0.000 0.500 0.500
```

***

Entry 6:
TaMnIr2 | PBE-GGA | relaxed

Computed properties:
Spin magnetization in μB per atom: 0.84
DOS at the Fermi energy in states/eV/cell: 19.76

```
data_TaMnIr2
_cell_length_a 6.235
_cell_length_b 6.235
_cell_length_c 6.235
_cell_angle_alpha 90.00
_cell_angle_beta 90.00
_cell_angle_gamma 90.00
_space_group_name_H-M_alt 'F -4 3 m'
_space_group_IT_number 216
_space_group_name_Hall 'F -4 2 3'
loop_
_atom_site_label
_atom_site_fract_x
_atom_site_fract_y
_atom_site_fract_z
Ta1 0.000 0.000 0.000
Mn1 0.250 0.250 0.750
Ir1 0.000 0.000 0.500
Ir2 0.250 0.250 0.250
```

***

Entry 7:
TaMnIr2 | PBE-GGA | relaxed

Computed properties:
Spin magnetization in μB per atom: 0.94
DOS at the Fermi energy in states/eV/cell: 7.33

```
data_TaMnIr2
_cell_length_a 4.078
_cell_length_b 4.078
_cell_length_c 7.301
_cell_angle_alpha 90.00
_cell_angle_beta 90.00
_cell_angle_gamma 90.00
_space_group_name_H-M_alt 'I 4/m m m'
_space_group_IT_number 139
_space_group_name_Hall '-I 4 2'
loop_
_atom_site_label
_atom_site_fract_x
_atom_site_fract_y
_atom_site_fract_z
Ta1 0.000 0.000 0.000
Mn1 0.000 0.000 0.500
Ir1 0.000 0.500 0.250
```

***

Entry 8:
Ta2MnIr9 | PBE-GGA | relaxed

Computed properties:
Spin magnetization in μB per atom: 0.20
DOS at the Fermi energy in states/eV/cell: 10.12

```
data_Ta2MnIr9
_cell_length_a 4.777
_cell_length_b 6.166
_cell_length_c 6.776
_cell_angle_alpha 111.29
_cell_angle_beta 90.31
_cell_angle_gamma 104.41
_space_group_name_H-M_alt 'P -1'
_space_group_IT_number 2
loop_
_space_group_symop_operation_xyz
'x,y,z'
'-x,-y,-z'
loop_
_atom_site_label
_atom_site_fract_x
_atom_site_fract_y
_atom_site_fract_z
Ta1 0.091 0.269 0.086
Mn1 0.000 0.500 0.500
Ir1 0.168 0.998 0.668
Ir2 0.253 0.758 0.248
Ir3 0.326 0.495 0.822
Ir4 0.409 0.258 0.416
Ir5 0.500 0.000 0.000
```

***

Energy of formation from the pure elements, respectively: 112.3, 170.6, 1263.2, -245.0, -236.8, -93.9, -450.6, -310.9 meV per atom.